Density functional theory data (GGA+U) for a relaxed structure of MgMnSi2O6.

The structure in POSCAR format:
```
MgMnSi2O6
1.0
5.320 0.000 0.000
0.000 18.667 0.000
0.000 0.000 9.030
Mg Mn Si O
8 8 16 48
direct
0.120 0.125 0.153 Mg
0.120 0.375 0.653 Mg
0.380 0.625 0.153 Mg
0.380 0.875 0.653 Mg
0.620 0.125 0.347 Mg
0.620 0.375 0.847 Mg
0.880 0.625 0.347 Mg
0.880 0.875 0.847 Mg
0.124 0.123 0.520 Mn
0.124 0.377 0.020 Mn
0.376 0.623 0.520 Mn
0.376 0.877 0.020 Mn
0.624 0.123 0.980 Mn
0.624 0.377 0.480 Mn
0.876 0.623 0.980 Mn
0.876 0.877 0.480 Mn
0.053 0.729 0.660 Si
0.053 0.771 0.160 Si
0.208 0.024 0.838 Si
0.208 0.476 0.338 Si
0.292 0.524 0.838 Si
0.292 0.976 0.338 Si
0.447 0.229 0.660 Si
0.447 0.271 0.160 Si
0.553 0.729 0.840 Si
0.553 0.771 0.340 Si
0.708 0.024 0.662 Si
0.708 0.476 0.162 Si
0.792 0.524 0.662 Si
0.792 0.976 0.162 Si
0.947 0.229 0.840 Si
0.947 0.271 0.340 Si
0.049 0.683 0.164 O
0.049 0.817 0.664 O
0.050 0.690 0.500 O
0.050 0.810 0.000 O
0.081 0.552 0.711 O
0.081 0.948 0.211 O
0.176 0.199 0.731 O
0.176 0.301 0.231 O
0.206 0.564 0.337 O
0.206 0.936 0.837 O
0.212 0.563 0.989 O
0.212 0.937 0.489 O
0.288 0.063 0.989 O
0.288 0.437 0.489 O
0.294 0.064 0.337 O
0.294 0.436 0.837 O
0.324 0.699 0.731 O
0.324 0.801 0.231 O
0.419 0.052 0.711 O
0.419 0.448 0.211 O
0.450 0.190 0.500 O
0.450 0.310 0.000 O
0.451 0.183 0.164 O
0.451 0.317 0.664 O
0.549 0.683 0.336 O
0.549 0.817 0.836 O
0.550 0.690 0.000 O
0.550 0.810 0.500 O
0.581 0.552 0.789 O
0.581 0.948 0.289 O
0.676 0.199 0.769 O
0.676 0.301 0.269 O
0.706 0.564 0.163 O
0.706 0.936 0.663 O
0.712 0.563 0.511 O
0.712 0.937 0.011 O
0.788 0.063 0.511 O
0.788 0.437 0.011 O
0.794 0.064 0.163 O
0.794 0.436 0.663 O
0.824 0.699 0.769 O
0.824 0.801 0.269 O
0.919 0.052 0.789 O
0.919 0.448 0.289 O
0.950 0.190 0.000 O
0.950 0.310 0.500 O
0.951 0.183 0.336 O
0.951 0.317 0.836 O
```

- Space-group type: No. 61
- E above lowest polymorph: 0 meV/atom
- DOS(E_F): 0.00 states/eV/f.u.